Entry 1:
Ca2Si2C (PBE, relaxed); ΔE to the lowest computed polymorph = 4.81 kcal/mol of atoms; N(E_F) = 5.626 states/eV per cell; formation energy (no corrections) = 534 meV per atom
1.0
6.341 0.000 0.000
0.000 6.341 0.000
0.000 0.000 4.614
C Ca Si
2 4 4
Cartesian
0.000 0.000 0.000 C
3.171 3.171 0.000 C
1.078 4.248 2.307 Ca
4.248 5.264 2.307 Ca
5.264 2.093 2.307 Ca
2.093 1.078 2.307 Ca
2.266 5.437 0.000 Si
5.437 4.075 0.000 Si
4.075 0.905 0.000 Si
0.905 2.266 0.000 Si

---

Entry 2:
Rb2HfAsO6 (PBE, relaxed); N(E_F) = 1.707 states/eV per cell; formation energy (no corrections) = -1834 meV per atom
1.0
5.348 0.000 0.000
0.000 6.449 0.000
0.000 -3.224 5.585
Rb Hf As O
2 1 1 6
Cartesian
0.750 0.000 3.723 Rb
4.599 3.224 1.862 Rb
2.674 0.000 0.000 Hf
0.000 0.000 0.000 As
4.182 0.000 1.477 O
4.182 -1.945 4.846 O
4.182 1.945 4.846 O
1.166 5.170 0.738 O
1.166 1.279 0.738 O
1.166 3.224 4.108 O

---

Entry 3:
Li5PbAu8 (PBE, relaxed); E_form = -329 meV/atom; N(E_F) = 2.649 states/eV per cell
1.0
-5.527 -1.686 -3.813
-0.762 -2.387 6.454
0.585 6.898 0.083
Li Pb Au
5 1 8
Cartesian
-0.420 0.025 2.118 Li
-5.343 -2.133 2.571 Li
-4.424 1.893 1.255 Li
-2.471 2.606 -1.865 Li
-1.220 5.864 -0.497 Li
-1.324 3.558 2.336 Pb
-1.282 -1.371 4.302 Au
-4.661 2.873 -3.110 Au
-4.110 0.457 -1.165 Au
-3.441 4.243 0.177 Au
-3.125 -0.510 1.896 Au
-3.587 2.634 3.914 Au
-1.878 1.514 0.342 Au
-0.732 1.458 4.539 Au

---

Calculated VASP energy (eV per cell), listed in the same order as above: -42.81, -64.63, -44.11
Calculated calculated volume (Å³/cell), listed in the same order as above: 185.5, 192.6, 255.4